# Ni2IrF8 PBE+U optimized geometry
data_Ni2IrF8
_symmetry_space_group_name_H-M 'C 1 2/m 1'
_symmetry_Int_Tables_number 12
_cell_length_a 11.3844
_cell_length_b 4.8284
_cell_length_c 5.6546
_cell_angle_alpha 90.00
_cell_angle_beta 90.79
_cell_angle_gamma 90.00
loop_
_symmetry_equiv_pos_as_xyz
'x,y,z'
'-x,-y,-z'
'-x,y,-z'
'x,-y,z'
'x+1/2,y+1/2,z'
'-x+1/2,-y+1/2,-z'
'-x+1/2,y+1/2,-z'
'x+1/2,-y+1/2,z'
loop_
_atom_site_label
_atom_site_fract_x
_atom_site_fract_y
_atom_site_fract_z
Ni1 0.1494 0.0000 0.0232
Ir1 0.0000 0.0000 0.5000
F1 0.0580 0.2458 0.2473
F2 0.1533 0.0000 0.6555
F3 0.1894 0.5000 0.9127
# E_tot, eV per cell: -92.751
# Total moment, μB/atom: 0.46